w) A plane-wave DFT calculation with PBE-GGA was carried out for a relaxed structure of Er3Sc3ReTe2.

abc: 7.8797 7.8797 4.0573
angles: 90.00 90.00 120.00
Fractional coordinates of all 9 atoms:
1 Er 0.0000 0.3881 0.0000
2 Er 0.3881 0.0000 0.0000
3 Er 0.6119 0.6119 0.0000
4 Sc 0.0000 0.7687 0.5000
5 Sc 0.2313 0.2313 0.5000
6 Sc 0.7687 0.0000 0.5000
7 Re 0.0000 0.0000 0.0000
8 Te 0.3333 0.6667 0.5000
9 Te 0.6667 0.3333 0.5000

Results
**Space-group type**: No. 189
**V**: 218 Å³/cell

***

x) A plane-wave DFT calculation with PBE-GGA was carried out for a relaxed structure of Er3Sc3ReTe2.

abc: 8.0043 8.0043 3.9895
angles: 90.00 90.00 120.00
Fractional coordinates of all 9 atoms:
1 Er 0.0000 0.7556 0.0000
2 Er 0.2444 0.2444 0.0000
3 Er 0.7556 0.0000 0.0000
4 Sc 0.0000 0.3856 0.5000
5 Sc 0.3856 0.0000 0.5000
6 Sc 0.6144 0.6144 0.5000
7 Re 0.0000 0.0000 0.5000
8 Te 0.3333 0.6667 0.0000
9 Te 0.6667 0.3333 0.0000

Results
**Space-group type**: No. 189
**V**: 221 Å³/cell

***

Most stable one: w), least stable one: x).

***

w) A plane-wave DFT calculation with PBE-GGA was carried out for a relaxed structure of Er3Tm3ReTe2.

abc: 8.1723 8.1723 4.1241
angles: 90.00 90.00 120.00
Fractional coordinates of all 9 atoms:
1 Er 0.0000 0.3840 0.0000
2 Er 0.3840 0.0000 0.0000
3 Er 0.6160 0.6160 0.0000
4 Tm 0.0000 0.7623 0.5000
5 Tm 0.2377 0.2377 0.5000
6 Tm 0.7623 0.0000 0.5000
7 Re 0.0000 0.0000 0.0000
8 Te 0.3333 0.6667 0.5000
9 Te 0.6667 0.3333 0.5000

Results
**Space-group type**: No. 189
**V**: 239 Å³/cell

***

x) A plane-wave DFT calculation with PBE-GGA was carried out for a relaxed structure of Er3Tm3ReTe2.

abc: 8.1772 8.1772 4.1251
angles: 90.00 90.00 120.00
Fractional coordinates of all 9 atoms:
1 Er 0.0000 0.7618 0.0000
2 Er 0.2382 0.2382 0.0000
3 Er 0.7618 0.0000 0.0000
4 Tm 0.0000 0.3839 0.5000
5 Tm 0.3839 0.0000 0.5000
6 Tm 0.6161 0.6161 0.5000
7 Re 0.0000 0.0000 0.5000
8 Te 0.3333 0.6667 0.0000
9 Te 0.6667 0.3333 0.0000

Results
**Space-group type**: No. 189
**V**: 239 Å³/cell

***

Most stable one: w), least stable one: x).

***

w) A plane-wave DFT calculation with PBE-GGA was carried out for a relaxed structure of ErTlZnS3.

abc: 10.5124 3.9504 14.2405
angles: 90.00 90.00 90.00
Fractional coordinates of all 24 atoms:
1 Er 0.0132 0.2500 0.2442
2 Er 0.4868 0.7500 0.7442
3 Er 0.5132 0.2500 0.2558
4 Er 0.9868 0.7500 0.7558
5 Tl 0.2263 0.7500 0.4959
6 Tl 0.2737 0.2500 0.9959
7 Tl 0.7263 0.7500 0.0041
8 Tl 0.7737 0.2500 0.5041
9 Zn 0.2371 0.2500 0.7115
10 Zn 0.2629 0.7500 0.2115
11 Zn 0.7371 0.2500 0.7885
12 Zn 0.7629 0.7500 0.2885
13 S 0.0456 0.2500 0.6306
14 S 0.0779 0.7500 0.1229
15 S 0.2387 0.7500 0.8105
16 S 0.2613 0.2500 0.3105
17 S 0.4221 0.2500 0.6229
18 S 0.4544 0.7500 0.1306
19 S 0.5456 0.2500 0.8694
20 S 0.5779 0.7500 0.3771
21 S 0.7387 0.7500 0.6895
22 S 0.7613 0.2500 0.1895
23 S 0.9221 0.2500 0.8771
24 S 0.9544 0.7500 0.3694

Results
**Space-group type**: No. 62
**V**: 591 Å³/cell

***

x) A plane-wave DFT calculation with PBE-GGA was carried out for a relaxed structure of ErTlZnS3.

abc: 9.6901 3.9651 14.8743
angles: 90.00 90.00 90.00
Fractional coordinates of all 24 atoms:
1 Er 0.1748 0.2500 0.0576
2 Er 0.3252 0.7500 0.5576
3 Er 0.6748 0.2500 0.4424
4 Er 0.8252 0.7500 0.9424
5 Tl 0.0206 0.7500 0.3214
6 Tl 0.4794 0.2500 0.8214
7 Tl 0.5206 0.7500 0.1786
8 Tl 0.9794 0.2500 0.6786
9 Zn 0.1687 0.7500 0.8647
10 Zn 0.3313 0.2500 0.3647
11 Zn 0.6687 0.7500 0.6353
12 Zn 0.8313 0.2500 0.1353
13 S 0.0212 0.2500 0.8975
14 S 0.1790 0.2500 0.4848
15 S 0.2204 0.7500 0.7169
16 S 0.2796 0.2500 0.2169
17 S 0.3210 0.7500 0.9848
18 S 0.4788 0.7500 0.3975
19 S 0.5212 0.2500 0.6025
20 S 0.6790 0.2500 0.0152
21 S 0.7204 0.7500 0.7831
22 S 0.7796 0.2500 0.2831
23 S 0.8210 0.7500 0.5152
24 S 0.9788 0.7500 0.1025

Results
**Space-group type**: No. 62
**V**: 572 Å³/cell

***

y) A plane-wave DFT calculation with PBE-GGA was carried out for a relaxed structure of ErTlZnS3.

abc: 8.4239 8.4239 8.8127
angles: 103.33 103.33 27.58
Fractional coordinates of all 12 atoms:
1 Er 0.1691 0.1691 0.0878
2 Er 0.8309 0.8309 0.9122
3 Tl 0.1429 0.1429 0.5639
4 Tl 0.8571 0.8571 0.4361
5 Zn 0.4964 0.4964 0.7812
6 Zn 0.5036 0.5036 0.2188
7 S 0.0000 0.0000 0.0000
8 S 0.3401 0.3401 0.1288
9 S 0.3466 0.3466 0.7198
10 S 0.5000 0.5000 0.5000
11 S 0.6534 0.6534 0.2802
12 S 0.6599 0.6599 0.8712

Results
**Space-group type**: No. 12
**V**: 281 Å³/cell

***

Most stable one: w), least stable one: y).

***

w) A plane-wave DFT calculation with PBE-GGA was carried out for a relaxed structure of ErTlZnS3.

abc: 8.0174 3.9553 10.3053
angles: 90.00 109.75 90.00
Fractional coordinates of all 12 atoms:
1 Er 0.1892 0.2500 0.1379
2 Er 0.8108 0.7500 0.8621
3 Tl 0.2266 0.7500 0.7155
4 Tl 0.7734 0.2500 0.2845
5 Zn 0.4240 0.7500 0.3914
6 Zn 0.5760 0.2500 0.6086
7 S 0.0465 0.2500 0.8643
8 S 0.2816 0.2500 0.4345
9 S 0.4303 0.7500 0.1684
10 S 0.5697 0.2500 0.8316
11 S 0.7184 0.7500 0.5655
12 S 0.9535 0.7500 0.1357

Results
**Space-group type**: No. 11
**V**: 308 Å³/cell

***

x) A plane-wave DFT calculation with PBE-GGA was carried out for a relaxed structure of ErTlZnS3.

abc: 11.2074 4.0715 11.9606
angles: 90.00 90.00 90.00
Fractional coordinates of all 24 atoms:
1 Er 0.0246 0.2500 0.1684
2 Er 0.4754 0.7500 0.6684
3 Er 0.5246 0.2500 0.3316
4 Er 0.9754 0.7500 0.8316
5 Tl 0.1618 0.2500 0.5080
6 Tl 0.3382 0.7500 0.0080
7 Tl 0.6618 0.2500 0.9920
8 Tl 0.8382 0.7500 0.4920
9 Zn 0.2488 0.2500 0.7997
10 Zn 0.2512 0.7500 0.2997
11 Zn 0.7488 0.2500 0.7003
12 Zn 0.7512 0.7500 0.2003
13 S 0.0441 0.7500 0.3207
14 S 0.1009 0.2500 0.9388
15 S 0.2247 0.7500 0.6971
16 S 0.2753 0.2500 0.1971
17 S 0.3991 0.7500 0.4388
18 S 0.4559 0.2500 0.8207
19 S 0.5441 0.7500 0.1793
20 S 0.6009 0.2500 0.5612
21 S 0.7247 0.7500 0.8029
22 S 0.7753 0.2500 0.3029
23 S 0.8991 0.7500 0.0612
24 S 0.9559 0.2500 0.6793

Results
**Space-group type**: No. 62
**V**: 546 Å³/cell

***

Most stable one: w), least stable one: x).

***

w) A plane-wave DFT calculation with PBE-GGA was carried out for a relaxed structure of ErTlZnS3.

abc: 7.4044 7.4044 10.4703
angles: 90.00 90.00 149.09
Fractional coordinates of all 12 atoms:
1 Er 0.0000 0.0000 0.0000
2 Er 0.0000 0.0000 0.5000
3 Tl 0.2537 0.7462 0.7500
4 Tl 0.7462 0.2537 0.2500
5 Zn 0.4604 0.5396 0.2500
6 Zn 0.5396 0.4604 0.7500
7 S 0.0599 0.9401 0.2500
8 S 0.3761 0.6239 0.0608
9 S 0.3761 0.6239 0.4392
10 S 0.6239 0.3761 0.5608
11 S 0.6239 0.3761 0.9392
12 S 0.9401 0.0599 0.7500

Results
**Space-group type**: No. 63
**V**: 295 Å³/cell

***

x) A plane-wave DFT calculation with PBE-GGA was carried out for a relaxed structure of ErTlZnS3.

abc: 14.5041 3.9514 10.6588
angles: 90.00 90.00 90.00
Fractional coordinates of all 24 atoms:
1 Er 0.0231 0.2500 0.1548
2 Er 0.4769 0.7500 0.6548
3 Er 0.5231 0.2500 0.3452
4 Er 0.9769 0.7500 0.8452
5 Tl 0.2429 0.2500 0.4602
6 Tl 0.2571 0.7500 0.9602
7 Tl 0.7429 0.2500 0.0398
8 Tl 0.7571 0.7500 0.5398
9 Zn 0.0184 0.7500 0.4014
10 Zn 0.4816 0.2500 0.9014
11 Zn 0.5184 0.7500 0.0986
12 Zn 0.9816 0.2500 0.5986
13 S 0.0753 0.7500 0.6144
14 S 0.0929 0.2500 0.9233
15 S 0.1324 0.7500 0.2481
16 S 0.3676 0.2500 0.7481
17 S 0.4071 0.7500 0.4233
18 S 0.4247 0.2500 0.1144
19 S 0.5753 0.7500 0.8856
20 S 0.5929 0.2500 0.5767
21 S 0.6324 0.7500 0.2519
22 S 0.8676 0.2500 0.7519
23 S 0.9071 0.7500 0.0767
24 S 0.9247 0.2500 0.3856

Results
**Space-group type**: No. 62
**V**: 611 Å³/cell

***

Most stable one: w), least stable one: x).

***

w) A plane-wave DFT calculation with PBE-GGA was carried out for a relaxed structure of Er3Sb2Te.

abc: 7.5064 7.5064 7.5064
angles: 146.35 131.83 60.05
Fractional coordinates of all 6 atoms:
1 Er 0.0000 0.0000 0.0000
2 Er 0.3273 0.3273 0.0000
3 Er 0.6727 0.6727 0.0000
4 Sb 0.1648 0.6648 0.5000
5 Sb 0.8352 0.3352 0.5000
6 Te 0.5000 0.0000 0.5000

Results
**Space-group type**: No. 71
**V**: 173 Å³/cell

***

x) A plane-wave DFT calculation with PBE-GGA was carried out for a relaxed structure of Er3Sb2Te.

abc: 4.3453 4.3453 10.6138
angles: 90.00 90.00 120.00
Fractional coordinates of all 6 atoms:
1 Er 0.0000 0.0000 0.0000
2 Er 0.3333 0.6667 0.6768
3 Er 0.6667 0.3333 0.3232
4 Sb 0.3333 0.6667 0.1657
5 Sb 0.6667 0.3333 0.8343
6 Te 0.0000 0.0000 0.5000

Results
**Space-group type**: No. 164
**V**: 174 Å³/cell

***

Most stable one: w), least stable one: x).

***

w) A plane-wave DFT calculation with PBE-GGA was carried out for a relaxed structure of ErSc.

abc: 3.9046 3.9046 7.9077
angles: 90.00 90.00 120.00
Fractional coordinates of all 4 atoms:
1 Er 0.3333 0.6667 0.2500
2 Er 0.6667 0.3333 0.7500
3 Sc 0.0000 0.0000 0.0000
4 Sc 0.0000 0.0000 0.5000

Results
**Space-group type**: No. 194
**V**: 104 Å³/cell

***

x) A plane-wave DFT calculation with PBE-GGA was carried out for a relaxed structure of ErSc.

abc: 4.3362 4.3362 4.3362
angles: 60.00 60.00 60.00
Fractional coordinates of all 2 atoms:
1 Er 0.0000 0.0000 0.0000
2 Sc 0.5000 0.5000 0.5000

Results
**Space-group type**: No. 225
**V**: 58 Å³/cell

***

Most stable one: w), least stable one: x).

***

w) A plane-wave DFT calculation with PBE-GGA was carried out for a relaxed structure of Er2Sc.

abc: 5.2046 5.2046 5.2046
angles: 60.00 60.00 60.00
Fractional coordinates of all 3 atoms:
1 Er 0.2500 0.2500 0.2500
2 Er 0.7500 0.7500 0.7500
3 Sc 0.0000 0.0000 0.0000

Results
**Space-group type**: No. 225
**V**: 100 Å³/cell

***

x) A plane-wave DFT calculation with PBE-GGA was carried out for a relaxed structure of Er2Sc.

abc: 6.2898 6.2898 6.2898
angles: 60.00 60.00 60.00
Fractional coordinates of all 6 atoms:
1 Er 0.0000 0.0000 0.0000
2 Er 0.0000 0.0000 0.5000
3 Er 0.0000 0.5000 0.0000
4 Er 0.5000 0.0000 0.0000
5 Sc 0.3750 0.3750 0.3750
6 Sc 0.6250 0.6250 0.6250

Results
**Space-group type**: No. 227
**V**: 176 Å³/cell

***

Most stable one: x), least stable one: w).

***

w) A plane-wave DFT calculation with PBE-GGA was carried out for a relaxed structure of SmErSe2.

abc: 4.0670 4.0670 7.1779
angles: 106.54 106.54 60.17
Fractional coordinates of all 4 atoms:
1 Sm 0.0000 0.0000 0.0000
2 Er 0.5000 0.5000 0.5000
3 Se 0.2456 0.2456 0.7367
4 Se 0.7544 0.7544 0.2633

Results
**Space-group type**: No. 12
**V**: 97 Å³/cell

***

x) A plane-wave DFT calculation with PBE-GGA was carried out for a relaxed structure of SmErSe2.

abc: 4.0994 4.0994 5.8018
angles: 90.00 90.00 90.00
Fractional coordinates of all 4 atoms:
1 Sm 0.0000 0.0000 0.0000
2 Er 0.5000 0.5000 0.5000
3 Se 0.0000 0.0000 0.5000
4 Se 0.5000 0.5000 0.0000

Results
**Space-group type**: No. 123
**V**: 97 Å³/cell

***

Most stable one: w), least stable one: x).

***

w) A plane-wave DFT calculation with PBE-GGA was carried out for a relaxed structure of ErSiSn.

abc: 4.8695 4.8695 4.8695
angles: 60.00 60.00 60.00
Fractional coordinates of all 3 atoms:
1 Er 0.0000 0.0000 0.0000
2 Si 0.7500 0.7500 0.7500
3 Sn 0.2500 0.2500 0.2500

Results
**Space-group type**: No. 216
**V**: 82 Å³/cell

***

x) A plane-wave DFT calculation with PBE-GGA was carried out for a relaxed structure of ErSiSn.

abc: 4.7786 4.7786 4.7786
angles: 60.00 60.00 60.00
Fractional coordinates of all 3 atoms:
1 Er 0.0000 0.0000 0.0000
2 Si 0.2500 0.2500 0.2500
3 Sn 0.5000 0.5000 0.5000

Results
**Space-group type**: No. 216
**V**: 77 Å³/cell

***

Most stable one: x), least stable one: w).

***

w) A plane-wave DFT calculation with PBE-GGA was carried out for a relaxed structure of ErSiTc.

abc: 7.0463 4.3119 7.1457
angles: 90.00 90.00 90.00
Fractional coordinates of all 12 atoms:
1 Er 0.0100 0.2500 0.1865
2 Er 0.4900 0.7500 0.6865
3 Er 0.5100 0.2500 0.3135
4 Er 0.9900 0.7500 0.8135
5 Si 0.1966 0.2500 0.6074
6 Si 0.3034 0.7500 0.1074
7 Si 0.6966 0.2500 0.8926
8 Si 0.8034 0.7500 0.3926
9 Tc 0.1556 0.7500 0.4367
10 Tc 0.3444 0.2500 0.9367
11 Tc 0.6556 0.7500 0.0633
12 Tc 0.8444 0.2500 0.5633

Results
**Space-group type**: No. 62
**V**: 217 Å³/cell

***

x) A plane-wave DFT calculation with PBE-GGA was carried out for a relaxed structure of ErSiTc.

abc: 4.3738 4.3738 4.3738
angles: 60.00 60.00 60.00
Fractional coordinates of all 3 atoms:
1 Er 0.0000 0.0000 0.0000
2 Si 0.2500 0.2500 0.2500
3 Tc 0.5000 0.5000 0.5000

Results
**Space-group type**: No. 216
**V**: 59 Å³/cell

***

Most stable one: w), least stable one: x).